This record from Alexandria via LeMat-Bulk describes a relaxed Nb2VPtO crystal. The functional is GGA+U.

The structure in CIF format:
```
data_Nb2VPtO
_symmetry_space_group_name_H-M 'P 4/m m m'
_symmetry_Int_Tables_number 123
_symmetry_space_group_name_Hall '-P 4 2'
_cell_length_a 4.2170
_cell_length_b 4.2170
_cell_length_c 4.0859
_cell_angle_alpha 90.00
_cell_angle_beta 90.00
_cell_angle_gamma 90.00
loop_
_atom_site_label
_atom_site_fract_x
_atom_site_fract_y
_atom_site_fract_z
_atom_site_occupancy
Nb1 0.0000 0.5000 0.0000 1
V1 0.0000 0.0000 0.5000 1
Pt1 0.5000 0.5000 0.5000 1
O1 0.0000 0.0000 0.0000 1
```

Values from the calculation:
Crystal system ... tetragonal
M_tot ... 0.4 μB/f.u.
N(E_F) ... 4.81 states/eV/cell
Total DFT energy (no corrections) ... -41.62 eV for the cell shown